PBE AlCoPt, optimized geometry; D(E_F) = 1.247 states/eV/atom; E_tot = -0.4340 Ry/atom; DFT formation energy = -0.276 eV per atom; offset from the most stable computed form = 20.2 kJ per mole of atoms
1.0
4.006 0.000 0.000
2.003 3.470 0.000
2.003 1.157 3.271
Co Al Pt
1 1 1
Direct
0.000 0.000 0.000
0.750 0.750 0.750
0.500 0.500 0.500

PBE Al2CoPt, optimized geometry; D(E_F) = 0.681 states/eV/atom; E_tot = -0.4187 Ry/atom; DFT formation energy = -0.539 eV per atom
1.0
4.323 0.018 -0.003
3.394 2.678 -0.003
0.912 0.319 4.776
Co Al Pt
1 2 1
Direct
0.750 0.750 0.750
0.005 0.005 0.985
0.495 0.495 0.515
0.250 0.250 0.250

PBE Al2CoPt, optimized geometry; D(E_F) = 0.375 states/eV/atom; E_tot = -0.4354 Ry/atom; DFT formation energy = -0.766 eV per atom
1.0
-2.467 -2.971 -1.066
2.141 -2.569 2.205
-1.913 0.650 2.615
Co Al Pt
1 2 1
Direct
0.500 0.000 0.500
0.000 0.000 0.000
0.500 0.500 0.000
0.000 0.500 0.500

PBE Al2CoPt, optimized geometry; D(E_F) = 0.541 states/eV/atom; E_tot = -0.3946 Ry/atom; DFT formation energy = -0.211 eV per atom
1.0
6.582 0.000 0.000
0.000 6.582 0.000
3.291 3.291 2.748
Co Al Pt
2 4 2
Direct
0.500 0.500 0.000
0.250 0.750 0.500
0.610 0.125 0.250
0.140 0.625 0.250
0.375 0.390 0.750
0.875 0.860 0.750
0.000 0.000 0.000
0.750 0.250 0.500

PBE Al4Co3Pt, optimized geometry; D(E_F) = 0.497 states/eV/atom; E_tot = -0.4390 Ry/atom; DFT formation energy = -0.682 eV per atom
1.0
4.120 0.000 0.000
0.000 5.874 0.000
0.000 0.000 8.240
Co Al Pt
6 8 2
Direct
0.000 0.000 0.000
0.000 0.000 0.500
0.500 0.000 0.750
0.500 0.000 0.250
0.500 0.500 0.750
0.500 0.500 0.250
0.500 0.764 0.000
0.500 0.764 0.500
0.500 0.236 0.000
0.500 0.236 0.500
0.000 0.764 0.750
0.000 0.764 0.250
0.000 0.236 0.250
0.000 0.236 0.750
0.000 0.500 0.000
0.000 0.500 0.500

PBE Al2Co2Pt, optimized geometry; D(E_F) = 0.948 states/eV/atom; E_tot = -0.4382 Ry/atom; DFT formation energy = -0.415 eV per atom; offset from the most stable computed form = 0.0 kJ per mole of atoms
1.0
6.855 0.000 0.000
0.000 6.855 0.000
0.000 0.000 2.748
Co Al Pt
4 4 2
Direct
0.381 0.881 0.000
0.881 0.619 0.000
0.619 0.119 0.000
0.119 0.381 0.000
0.177 0.677 0.500
0.677 0.823 0.500
0.823 0.323 0.500
0.323 0.177 0.500
0.000 0.000 0.000
0.500 0.500 0.000

PBE AlCo2Pt2, optimized geometry; D(E_F) = 0.934 states/eV/atom; E_tot = -0.4515 Ry/atom; DFT formation energy = -0.136 eV per atom
1.0
6.101 0.000 0.000
0.000 6.101 0.000
0.000 0.000 3.728
Co Al Pt
4 2 4
Direct
0.368 0.868 0.000
0.868 0.632 0.000
0.632 0.132 0.000
0.132 0.368 0.000
0.000 0.000 0.000
0.500 0.500 0.000
0.163 0.663 0.500
0.663 0.837 0.500
0.837 0.337 0.500
0.337 0.163 0.500

PBE AlCo2Pt, optimized geometry; D(E_F) = 1.179 states/eV/atom; E_tot = -0.4624 Ry/atom; DFT formation energy = -0.293 eV per atom
1.0
4.440 -0.031 0.000
-1.340 4.233 0.000
0.000 0.000 2.699
Co Al Pt
2 1 1
Direct
0.000 0.000 0.000
0.500 0.500 0.000
0.000 0.500 0.500
0.500 0.000 0.500

PBE Al8CoPt2, optimized geometry; D(E_F) = 0.329 states/eV/atom; E_tot = -0.3654 Ry/atom; DFT formation energy = -0.505 eV per atom
1.0
3.815 0.000 -1.161
-1.055 6.106 -3.468
0.096 -0.044 7.164
Al Co Pt
8 1 2
Direct
0.658 0.892 0.316
0.342 0.577 0.684
0.145 0.145 0.290
0.000 0.293 0.000
0.855 0.855 0.710
0.658 0.423 0.316
0.342 0.108 0.684
0.000 0.707 0.000
0.500 0.000 0.000
0.183 0.683 0.367
0.817 0.317 0.633

PBE AlCo2Pt, optimized geometry; D(E_F) = 0.811 states/eV/atom; E_tot = -0.4524 Ry/atom; DFT formation energy = -0.156 eV per atom
1.0
8.431 0.014 0.008
7.998 2.665 0.008
7.998 1.304 2.324
Co Al Pt
2 1 1
Direct
0.004 0.004 0.004
0.496 0.496 0.496
0.750 0.750 0.750
0.250 0.250 0.250

PBE Al2CoPt, optimized geometry; D(E_F) = 0.645 states/eV/atom; E_tot = -0.4286 Ry/atom; DFT formation energy = -0.674 eV per atom
1.0
4.768 -0.004 -0.003
3.898 2.746 -0.003
1.139 0.360 4.124
Co Al Pt
1 2 1
Direct
0.491 0.491 0.572
0.997 0.997 0.054
0.759 0.759 0.683
0.253 0.253 0.191

PBE Al2CoPt, optimized geometry; D(E_F) = 0.462 states/eV/atom; E_tot = -0.4168 Ry/atom; DFT formation energy = -0.512 eV per atom
1.0
-6.463 -4.890 -0.839
-4.882 -6.461 0.899
-6.550 -4.436 1.949
Co Al Pt
1 2 1
Direct
0.250 0.250 0.250
0.994 0.994 0.994
0.506 0.506 0.506
0.750 0.750 0.750

PBE Al2CoPt, optimized geometry; D(E_F) = 0.819 states/eV/atom; E_tot = -0.3987 Ry/atom; DFT formation energy = -0.267 eV per atom
1.0
8.438 0.006 0.003
7.963 2.792 0.003
7.963 1.358 2.439
Co Al Pt
1 2 1
Direct
0.503 0.503 0.503
0.003 0.003 0.003
0.244 0.244 0.244
0.750 0.750 0.750

PBE Al2CoPt, optimized geometry; D(E_F) = 0.706 states/eV/atom; E_tot = -0.4178 Ry/atom; DFT formation energy = -0.526 eV per atom
1.0
3.230 0.000 0.000
0.000 3.230 0.000
0.000 0.000 5.362
Co Al Pt
1 2 1
Direct
0.000 0.000 0.457
0.000 0.000 0.984
0.500 0.500 0.283
0.500 0.500 0.776

PBE Al2CoPt, optimized geometry; D(E_F) = 0.891 states/eV/atom; E_tot = -0.4067 Ry/atom; DFT formation energy = -0.375 eV per atom
1.0
-2.875 0.124 3.151
-3.309 -2.695 -0.023
-0.186 -3.175 2.845
Co Al Pt
1 2 1
Direct
0.500 0.500 0.500
0.000 0.000 0.000
0.750 0.750 0.750
0.250 0.250 0.250

PBE Al2CoPt, optimized geometry; D(E_F) = 0.350 states/eV/atom; E_tot = -0.4353 Ry/atom; DFT formation energy = -0.764 eV per atom
1.0
-2.740 -1.348 -0.387
0.995 -2.845 2.857
-2.175 6.411 5.306
Al Co Pt
4 2 2
Direct
0.821 0.656 0.641
0.179 0.344 0.359
0.055 0.782 0.110
0.945 0.218 0.890
0.559 0.283 0.119
0.441 0.717 0.881
0.322 0.165 0.643
0.678 0.835 0.357

PBE AlCoPt, optimized geometry; D(E_F) = 1.165 states/eV/atom; E_tot = -0.4439 Ry/atom; DFT formation energy = -0.410 eV per atom; offset from the most stable computed form = 7.3 kJ per mole of atoms
1.0
-3.469 -0.084 2.275
1.060 -3.294 -2.289
1.414 -1.017 2.118
Co Al Pt
1 1 1
Direct
0.667 0.333 0.261
0.000 0.000 0.037
0.333 0.667 0.703

PBE AlCoPtS2, optimized geometry; energy relative to the elements, uncorrected = 0.680 eV/atom; D(E_F) = 0.713 states/eV/atom; E_tot = -0.3196 Ry/atom
1.0
4.489 0.000 0.000
0.000 4.779 0.000
0.000 0.000 4.489
S Co Al Pt
2 1 1 1
Direct
0.000 0.000 0.500
0.500 0.000 0.000
0.500 0.500 0.500
0.000 0.000 0.000
0.000 0.500 0.000

PBE AlCoSbPt2, optimized geometry; energy relative to the elements, uncorrected = 0.867 eV/atom; D(E_F) = 1.091 states/eV/atom; E_tot = -0.3339 Ry/atom
1.0
4.968 0.000 0.000
0.000 4.658 0.000
0.000 0.000 4.968
Sb Co Al Pt
1 1 1 2
Direct
0.000 0.000 0.000
0.000 0.500 0.000
0.500 0.500 0.500
0.000 0.000 0.500
0.500 0.000 0.000

PBE Th2Al4CoPt3, optimized geometry; D(E_F) = 0.982 states/eV/atom; E_tot = -0.4757 Ry/atom; DFT formation energy = -0.969 eV per atom
1.0
-3.787 1.071 1.641
-0.950 -4.127 0.500
4.141 0.190 9.434
Th Al Co Pt
2 4 1 3
Direct
0.500 0.000 0.258
0.000 0.500 0.742
0.500 0.500 0.000
0.000 0.000 0.000
0.500 0.000 0.621
0.000 0.500 0.379
0.500 0.500 0.500
0.000 0.000 0.500
0.500 0.000 0.863
0.000 0.500 0.137

PBE TiAlCoPt, optimized geometry; D(E_F) = 0.378 states/eV/atom; E_tot = -0.5128 Ry/atom; DFT formation energy = -0.781 eV per atom
1.0
3.959 0.000 0.000
0.000 3.959 0.000
-1.979 -1.979 3.532
Ti Al Co Pt
1 1 1 1
Direct
0.750 0.250 0.500
0.250 0.750 0.500
0.000 0.000 0.000
0.500 0.500 0.000

PBE YAl4CoPt2, optimized geometry; D(E_F) = 0.554 states/eV/atom; E_tot = -0.4338 Ry/atom; DFT formation energy = -0.824 eV per atom
1.0
4.214 0.000 0.000
2.107 3.649 0.000
2.107 1.216 8.624
Y Al Co Pt
1 4 1 2
Direct
0.000 0.000 0.000
0.405 0.405 0.786
0.865 0.865 0.406
0.135 0.135 0.594
0.595 0.595 0.214
0.500 0.500 0.500
0.765 0.765 0.706
0.235 0.235 0.294

PBE Y2Al4CoPt3, optimized geometry; D(E_F) = 0.697 states/eV/atom; E_tot = -0.4623 Ry/atom; DFT formation energy = -0.978 eV per atom
1.0
4.136 0.000 0.000
0.000 4.136 0.000
0.000 0.000 10.543
Y Al Co Pt
2 4 1 3
Direct
0.500 0.000 0.260
0.000 0.500 0.740
0.500 0.500 0.000
0.000 0.000 0.000
0.500 0.000 0.623
0.000 0.500 0.377
0.500 0.500 0.500
0.000 0.000 0.500
0.500 0.000 0.861
0.000 0.500 0.139

PBE AlZnCo2Pt, optimized geometry; D(E_F) = 1.143 states/eV/atom; E_tot = -0.3063 Ry/atom; DFT formation energy = 0.886 eV per atom
1.0
-0.672 -2.750 -3.717
-0.017 -3.778 2.798
-4.623 0.414 0.530
Zn Co Al Pt
1 2 1 1
Direct
0.000 0.500 0.000
0.000 0.000 0.500
0.500 0.000 0.000
0.500 0.500 0.500
0.000 0.000 0.000

PBE ZrAlCoPt, optimized geometry; D(E_F) = 0.609 states/eV/atom; E_tot = -0.5206 Ry/atom; DFT formation energy = -0.724 eV per atom
1.0
4.471 0.000 0.000
2.236 3.872 0.000
2.236 1.291 3.651
Co Zr Pt Al
1 1 1 1
Direct
0.250 0.250 0.250
0.000 0.000 0.000
0.750 0.750 0.750
0.500 0.500 0.500

PBE PuAlCo, optimized geometry; D(E_F) = 2.195 states/eV/atom; E_tot = -0.6323 Ry/atom; DFT formation energy = -0.210 eV per atom
1.0
2.953 0.000 0.000
0.000 2.953 0.000
-1.477 -1.477 5.694
Co Al Pu
1 1 1
Direct
0.686 0.686 0.372
0.299 0.299 0.598
0.015 0.015 0.030